A plane-wave DFT calculation with PBE was carried out for crystalline Ba5Ru at its relaxed geometry.

Computed properties:
As for the total energy: -2.7686 eV/atom. Its distance to the lowest polymorph of the same formula is 0.000 eV per atom. The density of states at the Fermi level comes out at 18.0 states/eV per cell. As for the formation energy: 0.3797 eV/atom. Its symmetry is Amm2, No. 38.

Structure (POSCAR):
```
Ba5Ru
1.0
6.4199 0.0000 0.0000
0.0000 4.5050 0.0000
0.0000 0.0000 20.6146
Ba Ru
10 2
Direct
0.0000 0.0000 0.0000
0.0000 0.0000 0.2052
0.0000 0.5000 0.5000
0.0000 0.5000 0.7052
0.5000 0.0000 0.0863
0.5000 0.0000 0.4061
0.5000 0.0000 0.7352
0.5000 0.5000 0.2352
0.5000 0.5000 0.5863
0.5000 0.5000 0.9061
0.0000 0.0000 0.6088
0.0000 0.5000 0.1088
```

---

A plane-wave DFT calculation with PBE was carried out for crystalline Ba2Ru at its relaxed geometry.

Computed properties:
As for the total energy: -3.8904 eV/atom. The density of states at the Fermi level comes out at 11.0 states/eV per cell. As for the formation energy: 0.4834 eV/atom. Its symmetry is Cmcm, No. 63.

Structure (POSCAR):
```
Ba2Ru
1.0
4.2315 0.0000 0.0000
0.0000 12.9272 0.0000
0.0000 0.0000 7.7778
Ba Ru
8 4
Direct
0.0000 0.0000 0.0000
0.0000 0.0000 0.5000
0.0000 0.2663 0.2500
0.0000 0.7337 0.7500
0.5000 0.2337 0.7500
0.5000 0.5000 0.0000
0.5000 0.5000 0.5000
0.5000 0.7663 0.2500
0.0000 0.3957 0.7500
0.0000 0.6043 0.2500
0.5000 0.1043 0.2500
0.5000 0.8957 0.7500
```

---

A plane-wave DFT calculation with PBE was carried out for crystalline Ba5Ru4 at its relaxed geometry.

Computed properties:
As for the total energy: -4.3805 eV/atom. Its distance to the lowest polymorph of the same formula is 0.000 eV per atom. The density of states at the Fermi level comes out at 19.0 states/eV per cell. As for the formation energy: 0.8103 eV/atom. Its symmetry is P6_3/mcm, No. 193.

Structure (POSCAR):
```
Ba5Ru4
1.0
10.2791 0.0000 0.0000
-5.1395 8.9019 0.0000
0.0000 0.0000 5.9600
Ba Ru
10 8
Direct
0.0000 0.2643 0.2500
0.0000 0.7357 0.7500
0.2643 0.0000 0.2500
0.2643 0.2643 0.7500
0.3333 0.6667 0.0000
0.3333 0.6667 0.5000
0.6667 0.3333 0.0000
0.6667 0.3333 0.5000
0.7357 0.0000 0.7500
0.7357 0.7357 0.2500
0.0000 0.0000 0.0000
0.0000 0.0000 0.5000
0.0000 0.4684 0.7500
0.0000 0.5316 0.2500
0.4684 0.0000 0.7500
0.4684 0.4684 0.2500
0.5316 0.0000 0.2500
0.5316 0.5316 0.7500
```

---

A plane-wave DFT calculation with PBE was carried out for crystalline Ba3Ru2 at its relaxed geometry.

Computed properties:
As for the total energy: -4.2504 eV/atom. The density of states at the Fermi level comes out at 8.4 states/eV per cell. As for the formation energy: 0.6136 eV/atom. Its symmetry is P-3m1, No. 164.

Structure (POSCAR):
```
Ba3Ru2
1.0
5.0626 0.0000 0.0000
-2.5313 4.3843 0.0000
0.0000 0.0000 8.7965
Ba Ru
3 2
Direct
0.0000 0.0000 0.0000
0.3333 0.6667 0.2960
0.6667 0.3333 0.7040
0.3333 0.6667 0.9655
0.6667 0.3333 0.0345
```

---

A plane-wave DFT calculation with PBE was carried out for crystalline BaRu at its relaxed geometry.

Computed properties:
As for the total energy: -5.1829 eV/atom. The density of states at the Fermi level comes out at 5.0 states/eV per cell. As for the formation energy: 0.4164 eV/atom. Its symmetry is Pmma, No. 51.

Structure (POSCAR):
```
BaRu
1.0
4.2642 0.0000 0.0000
0.0000 4.6045 0.0000
0.0000 0.0000 7.9371
Ba Ru
2 2
Direct
0.2500 0.0000 0.2311
0.7500 0.0000 0.7689
0.2500 0.5000 0.9372
0.7500 0.5000 0.0628
```

---

A plane-wave DFT calculation with PBE was carried out for crystalline BaRu5 at its relaxed geometry.

Computed properties:
As for the total energy: -7.4974 eV/atom. The density of states at the Fermi level comes out at 17.6 states/eV per cell. As for the formation energy: 0.5529 eV/atom. Its symmetry is Amm2, No. 38.

Structure (POSCAR):
```
BaRu5
1.0
4.2535 0.0000 0.0000
0.0000 2.8466 0.0000
0.0000 0.0000 18.3177
Ba Ru
2 10
Direct
0.0000 0.0000 0.0000
0.0000 0.5000 0.5000
0.0000 0.0000 0.3238
0.0000 0.0000 0.6982
0.0000 0.5000 0.1982
0.0000 0.5000 0.8238
0.5000 0.0000 0.2396
0.5000 0.0000 0.6170
0.5000 0.0000 0.8618
0.5000 0.5000 0.1170
0.5000 0.5000 0.3618
0.5000 0.5000 0.7396
```

---

A plane-wave DFT calculation with PBE was carried out for crystalline Ba3Ru2 at its relaxed geometry.

Computed properties:
As for the total energy: -4.2495 eV/atom. The density of states at the Fermi level comes out at 23.4 states/eV per cell. As for the formation energy: 0.6145 eV/atom. Its symmetry is R-3m, No. 166.

Structure (POSCAR):
```
Ba3Ru2
1.0
5.0678 0.0000 0.0000
-2.5339 4.3889 0.0000
0.0000 0.0000 26.8703
Ba Ru
9 6
Direct
0.0000 0.0000 0.0000
0.0000 0.0000 0.2367
0.0000 0.0000 0.7633
0.3333 0.6667 0.4299
0.3333 0.6667 0.6667
0.3333 0.6667 0.9034
0.6667 0.3333 0.0966
0.6667 0.3333 0.3333
0.6667 0.3333 0.5701
0.0000 0.0000 0.3443
0.0000 0.0000 0.6557
0.3333 0.6667 0.0110
0.3333 0.6667 0.3224
0.6667 0.3333 0.6776
0.6667 0.3333 0.9890
```

---

A plane-wave DFT calculation with PBE was carried out for crystalline Ba6Ru7 at its relaxed geometry.

Computed properties:
As for the total energy: -5.3375 eV/atom. The density of states at the Fermi level comes out at 18.5 states/eV per cell. As for the formation energy: 0.5446 eV/atom. Its symmetry is R-3m, No. 166.

Structure (POSCAR):
```
Ba6Ru7
1.0
2.6989 1.5582 14.3257
-2.6989 1.5582 14.3257
0.0000 -3.1164 14.3257
Ba Ru
6 7
Direct
0.0682 0.0682 0.0682
0.1527 0.1527 0.1527
0.3696 0.3696 0.3696
0.6304 0.6304 0.6304
0.8473 0.8473 0.8473
0.9318 0.9318 0.9318
0.1063 0.6111 0.6111
0.3889 0.3889 0.8937
0.3889 0.8937 0.3889
0.5000 0.5000 0.5000
0.6111 0.1063 0.6111
0.6111 0.6111 0.1063
0.8937 0.3889 0.3889
```